# Pm2DyPd4 PBE optimized geometry
data_Pm2DyPd4
_chemical_formula_sum 'Pm2 Dy1 Pd4'
_space_group_name_H-M_alt 'P 1'
_space_group_IT_number 1
_cell_length_a 8.691
_cell_length_b 8.134
_cell_length_c 5.165
_cell_angle_alpha 78.12
_cell_angle_beta 66.32
_cell_angle_gamma 35.56
loop_
_space_group_symop_operation_xyz
'x,y,z'
loop_
_atom_site_label
_atom_site_fract_x
_atom_site_fract_y
_atom_site_fract_z
Pm1 0.134 0.134 0.866
Pm2 0.866 0.866 0.134
Dy1 0.500 0.500 0.500
Pd1 0.000 0.000 0.500
Pd2 0.320 0.320 0.680
Pd3 0.500 0.500 0.000
Pd4 0.680 0.680 0.320
# Formation enthalpy at 0 K (meV per atom): -289.9
# Electronic total energy (eV/atom): -5.2720
# Space-group type: Fmmm